[1]
{"formula": "La2ZnCo2", "functional": "PBE-GGA", "state": "relaxed", "energy_ev_per_atom": -5.090, "volume_a3_per_fu": 107.4, "lattice": [[-1.303, -2.435, -4.599], [-3.671, -2.930, 2.591], [-5.052, -0.056, -1.668]], "species": ["Co", "Co", "La", "La", "Zn"], "frac_coords": [[0.330, 0.330, 0.339], [0.670, 0.670, 0.661], [0.250, 0.750, 0.500], [0.750, 0.250, 0.500], [0.000, 0.000, 0.000]]}

[2]
{"formula": "LaZnCo2", "functional": "PBE-GGA", "state": "relaxed", "energy_ev_per_atom": -4.962, "volume_a3_per_fu": 69.0, "lattice": [[-0.488, 1.644, 2.807], [1.029, -2.616, 1.711], [5.979, 2.191, -0.245]], "species": ["Co", "Zn", "La", "Co"], "frac_coords": [[0.000, 0.000, 0.929], [0.500, 0.500, 0.750], [0.500, 0.500, 0.250], [0.000, 0.000, 0.571]]}

[3]
{"formula": "LaZnCo2", "functional": "PBE-GGA", "state": "relaxed", "energy_ev_per_atom": -4.923, "volume_a3_per_fu": 67.2, "lattice": [[5.489, 0.008, -0.007], [2.783, 4.732, 0.007], [-3.712, -3.110, 2.585]], "species": ["Co", "Co", "La", "Zn"], "frac_coords": [[0.217, 0.717, 0.500], [0.007, 0.007, 0.000], [0.497, 0.497, 0.000], [0.779, 0.279, 0.500]]}

[4]
{"formula": "LaZnCo2", "functional": "PBE-GGA", "state": "relaxed", "energy_ev_per_atom": -5.221, "volume_a3_per_fu": 65.1, "lattice": [[-3.623, -2.881, -2.412], [1.530, -1.242, 4.833], [-11.876, 9.703, 6.251]], "species": ["Co", "La", "Zn", "Co", "Co", "La", "La", "Zn", "La", "Co", "Co", "Co", "Co", "Zn", "Co", "Zn", "Zn", "Co", "La", "Zn", "Co", "Co", "La", "Co"], "frac_coords": [[0.167, 0.334, 0.128], [0.667, 0.333, 0.250], [0.000, 0.000, 0.750], [0.167, 0.833, 0.372], [0.167, 0.334, 0.372], [0.333, 0.667, 0.750], [0.333, 0.667, 0.952], [0.333, 0.667, 0.250], [0.333, 0.667, 0.548], [0.666, 0.833, 0.128], [0.833, 0.167, 0.872], [0.833, 0.167, 0.628], [0.833, 0.666, 0.628], [0.000, 0.000, 0.000], [0.334, 0.167, 0.872], [0.667, 0.333, 0.750], [0.000, 0.000, 0.250], [0.833, 0.666, 0.872], [0.667, 0.333, 0.452], [0.000, 0.000, 0.500], [0.167, 0.833, 0.128], [0.666, 0.833, 0.372], [0.667, 0.333, 0.048], [0.334, 0.167, 0.628]]}